No. 1
Al2FeHg (PBE, relaxed); space group = No. 10; density = 7.68 Mg/m³; final energy = -3.865 eV per atom; formation energy = 197 meV per atom; volume = 67.1 Å³ per cell
1.0
2.9288 0.0000 0.0000
0.0000 4.3279 0.0000
-0.5825 0.0000 5.2958
Al Fe Hg
2 1 1
Direct
0.1841 0.0000 0.2900
0.8159 0.0000 0.7100
0.5000 0.5000 0.5000
0.0000 0.5000 0.0000


No. 2
Pm8AlCo2 (PBE, relaxed); space group = No. 12; density = 7.01 Mg/m³; final energy = -5.108 eV per atom; formation energy = -21 meV per atom; volume = 309.0 Å³ per cell
1.0
4.4378 -6.7376 0.0000
4.4378 6.7376 0.0000
-1.1879 0.0000 5.1673
Pm Al Co
8 1 2
Direct
0.1176 0.1176 0.8071
0.1775 0.4325 0.4351
0.2486 0.7514 0.0000
0.4325 0.1775 0.4351
0.5675 0.8225 0.5649
0.7514 0.2486 0.0000
0.8225 0.5675 0.5649
0.8824 0.8824 0.1929
0.5000 0.5000 0.0000
0.1937 0.8063 0.5000
0.8063 0.1937 0.5000